*a*
CaEu2Sb GGA-PBE optimized geometry; density of states at the Fermi level = 1.705 states/eV/atom
1.0
4.330 0.000 0.000
0.000 4.330 0.000
0.000 0.000 7.359
Ca Eu Sb
1 2 1
Cartesian
0.000 0.000 0.000 Ca
2.165 2.165 2.125 Eu
2.165 2.165 5.233 Eu
0.000 0.000 3.679 Sb

*b*
CaEu2Sb GGA-PBE optimized geometry; density of states at the Fermi level = 1.092 states/eV/atom
1.0
0.000 4.032 4.032
4.032 0.000 4.032
4.032 4.032 0.000
Ca Eu Sb
1 2 1
Cartesian
0.000 0.000 0.000 Ca
2.016 2.016 2.016 Eu
6.048 6.048 6.048 Eu
4.032 4.032 4.032 Sb

Most stable: *a*

*a*
Ca2EuSb GGA-PBE optimized geometry; density of states at the Fermi level = 0.561 states/eV/atom
1.0
5.015 0.000 0.000
0.000 5.015 0.000
0.000 0.000 5.106
Ca Eu Sb
2 1 1
Cartesian
0.000 2.508 0.000 Ca
2.508 0.000 0.000 Ca
0.000 0.000 2.553 Eu
2.508 2.508 2.553 Sb

*b*
Ca2EuSb GGA-PBE optimized geometry; density of states at the Fermi level = 2.354 states/eV/atom
1.0
4.316 0.000 0.000
0.000 4.316 0.000
0.000 0.000 7.192
Ca Eu Sb
2 1 1
Cartesian
0.000 0.000 1.560 Ca
0.000 0.000 5.632 Ca
2.158 2.158 3.596 Eu
2.158 2.158 0.000 Sb

Most stable: *a*

*a*
CaEu2Sc GGA-PBE optimized geometry; density of states at the Fermi level = 0.989 states/eV/atom
1.0
3.985 0.000 0.000
0.000 3.985 0.000
0.000 0.000 9.209
Ca Eu Sc
1 2 1
Cartesian
0.000 0.000 0.000 Ca
1.993 1.993 2.620 Eu
1.993 1.993 6.589 Eu
0.000 0.000 4.605 Sc

*b*
CaEu2Sc GGA-PBE optimized geometry; density of states at the Fermi level = 1.560 states/eV/atom
1.0
1.788 1.032 12.920
-1.788 1.032 12.920
0.000 -2.065 12.920
Ca Eu Sc
1 2 1
Cartesian
0.000 0.000 0.000 Ca
0.000 0.000 16.218 Eu
0.000 0.000 22.541 Eu
0.000 0.000 19.380 Sc

Most stable: *a*

*a*
Ca2EuSc GGA-PBE optimized geometry; density of states at the Fermi level = 1.385 states/eV/atom
1.0
0.000 4.152 4.152
4.152 0.000 4.152
4.152 4.152 0.000
Ca Eu Sc
2 1 1
Cartesian
2.076 2.076 2.076 Ca
6.228 6.228 6.228 Ca
0.000 0.000 0.000 Eu
4.152 4.152 4.152 Sc

*b*
Ca2EuSc GGA-PBE optimized geometry; density of states at the Fermi level = 1.510 states/eV/atom
1.0
5.866 0.000 0.000
0.000 5.866 0.000
0.000 0.000 4.163
Ca Eu Sc
2 1 1
Cartesian
0.000 2.933 0.000 Ca
2.933 0.000 0.000 Ca
0.000 0.000 2.081 Eu
2.933 2.933 2.081 Sc

Most stable: *a*

*a*
CaSmEu2 GGA-PBE optimized geometry; density of states at the Fermi level = 0.909 states/eV/atom
1.0
6.090 0.000 0.000
0.000 6.090 0.000
0.000 0.000 4.206
Ca Sm Eu
1 1 2
Cartesian
0.000 0.000 0.000 Ca
3.045 3.045 0.000 Sm
0.000 3.045 2.103 Eu
3.045 0.000 2.103 Eu

*b*
CaSmEu2 GGA-PBE optimized geometry; density of states at the Fermi level = 1.111 states/eV/atom
1.0
3.788 0.000 0.000
0.000 3.788 0.000
0.000 0.000 11.020
Ca Sm Eu
1 1 2
Cartesian
0.000 0.000 0.000 Ca
0.000 0.000 5.510 Sm
1.894 1.894 2.894 Eu
1.894 1.894 8.125 Eu

Most stable: *b*

*a*
CaTbEu2 GGA-PBE optimized geometry; density of states at the Fermi level = 1.112 states/eV/atom
1.0
1.888 1.090 12.545
-1.888 1.090 12.545
0.000 -2.180 12.545
Ca Tb Eu
1 1 2
Cartesian
0.000 0.000 0.000 Ca
0.000 0.000 18.817 Tb
0.000 0.000 9.285 Eu
0.000 0.000 28.350 Eu

*b*
CaTbEu2 GGA-PBE optimized geometry; density of states at the Fermi level = 1.134 states/eV/atom
1.0
3.771 0.000 0.000
0.000 3.771 0.000
0.000 0.000 10.984
Ca Tb Eu
1 1 2
Cartesian
0.000 0.000 0.000 Ca
0.000 0.000 5.492 Tb
1.886 1.886 2.912 Eu
1.886 1.886 8.073 Eu

Most stable: *a*

*a*
CaEuTe GGA-PBE optimized geometry; density of states at the Fermi level = 2.912 states/eV/atom
1.0
-1.982 1.982 6.849
1.982 -1.982 6.849
1.982 1.982 -6.849
Ca Eu Te
1 1 1
Cartesian
0.000 0.000 0.000 Ca
0.000 0.000 9.981 Eu
0.000 0.000 5.062 Te

*b*
CaEuTe GGA-PBE optimized geometry; density of states at the Fermi level = 4.112 states/eV/atom
1.0
4.361 0.000 0.000
-2.180 3.776 0.000
0.000 0.000 7.309
Ca Eu Te
1 1 1
Cartesian
0.000 0.000 0.000 Ca
2.180 1.259 3.379 Eu
0.000 2.518 5.425 Te

Most stable: *b*

*a*
CaEuTh GGA-PBE optimized geometry; density of states at the Fermi level = 1.153 states/eV/atom
1.0
3.672 0.000 0.000
-1.836 3.180 0.000
0.000 0.000 9.390
Ca Eu Th
1 1 1
Cartesian
0.000 0.000 0.000 Ca
0.000 2.120 6.033 Eu
1.836 1.060 3.061 Th

*b*
CaEuTh GGA-PBE optimized geometry; density of states at the Fermi level = 1.427 states/eV/atom
1.0
-1.838 1.838 8.239
1.838 -1.838 8.239
1.838 1.838 -8.239
Ca Eu Th
1 1 1
Cartesian
0.000 0.000 0.000 Ca
0.000 0.000 11.272 Eu
0.000 0.000 5.582 Th

Most stable: *a*

*a*
CaEu2Tl GGA-PBE optimized geometry; density of states at the Fermi level = 3.761 states/eV/atom
1.0
4.026 0.000 0.000
0.000 4.026 0.000
0.000 0.000 9.238
Ca Eu Tl
1 2 1
Cartesian
0.000 0.000 0.000 Ca
2.013 2.013 2.758 Eu
2.013 2.013 6.480 Eu
0.000 0.000 4.619 Tl

*b*
CaEu2Tl GGA-PBE optimized geometry; density of states at the Fermi level = 3.427 states/eV/atom
1.0
5.133 0.000 0.000
0.000 5.133 0.000
0.000 0.000 5.193
Ca Eu Tl
1 2 1
Cartesian
0.000 0.000 0.000 Ca
0.000 2.567 2.597 Eu
2.567 0.000 2.597 Eu
2.567 2.567 0.000 Tl

Most stable: *a*

*a*
CaEuTm GGA-PBE optimized geometry; density of states at the Fermi level = 1.216 states/eV/atom
1.0
-1.858 1.858 8.099
1.858 -1.858 8.099
1.858 1.858 -8.099
Ca Eu Tm
1 1 1
Cartesian
0.000 0.000 0.000 Ca
0.000 0.000 5.133 Eu
0.000 0.000 10.729 Tm

*b*
CaEuTm GGA-PBE optimized geometry; density of states at the Fermi level = 1.371 states/eV/atom
1.0
3.711 0.000 0.000
-1.856 3.214 0.000
0.000 0.000 9.262
Ca Eu Tm
1 1 1
Cartesian
0.000 0.000 0.000 Ca
0.000 2.143 5.960 Eu
1.856 1.071 3.021 Tm

Most stable: *b*

*a*
CaEuTm2 GGA-PBE optimized geometry; density of states at the Fermi level = 1.640 states/eV/atom
1.0
5.132 0.000 0.000
0.000 5.132 0.000
0.000 0.000 5.294
Ca Eu Tm
1 1 2
Cartesian
0.000 0.000 0.000 Ca
2.566 2.566 0.000 Eu
0.000 2.566 2.647 Tm
2.566 0.000 2.647 Tm

*b*
CaEuTm2 GGA-PBE optimized geometry; density of states at the Fermi level = 1.306 states/eV/atom
1.0
0.000 4.094 4.094
4.094 0.000 4.094
4.094 4.094 0.000
Ca Eu Tm
1 1 2
Cartesian
0.000 0.000 0.000 Ca
4.094 4.094 4.094 Eu
2.047 2.047 2.047 Tm
6.141 6.141 6.141 Tm

Most stable: *a*

*a*
CaEuTm2 GGA-PBE optimized geometry; density of states at the Fermi level = 1.749 states/eV/atom
1.0
3.634 0.000 0.000
0.000 3.634 0.000
0.000 0.000 10.489
Ca Eu Tm
1 1 2
Cartesian
0.000 0.000 0.000 Ca
0.000 0.000 5.245 Eu
1.817 1.817 2.702 Tm
1.817 1.817 7.788 Tm

*b*
CaEuTm2 GGA-PBE optimized geometry; density of states at the Fermi level = 1.584 states/eV/atom
1.0
1.815 1.048 12.125
-1.815 1.048 12.125
0.000 -2.096 12.125
Ca Eu Tm
1 1 2
Cartesian
0.000 0.000 0.000 Ca
0.000 0.000 18.187 Eu
0.000 0.000 9.054 Tm
0.000 0.000 27.320 Tm

Most stable: *b*